A relaxed structure of RbNa2TlBi, computed with PBE-GGA.

Cell and atoms, written as CIF:
```
data_RbNa2TlBi
_space_group_name_H-M_alt 'P 4/m m m'
_space_group_IT_number 123
_space_group_name_Hall '-P 4 2'
_cell_length_a 6.0380
_cell_length_b 6.0380
_cell_length_c 6.5133
_cell_angle_alpha 90.00
_cell_angle_beta 90.00
_cell_angle_gamma 90.00
loop_
_atom_site_label
_atom_site_type_symbol
_atom_site_fract_x
_atom_site_fract_y
_atom_site_fract_z
Rb1 Rb 0.0000 0.0000 0.0000
Na1 Na 0.0000 0.5000 0.5000
Tl1 Tl 0.5000 0.5000 0.0000
Bi1 Bi 0.5000 0.5000 0.5000
```

## Properties
Magnetic moment in μB per cell: 0.00
ΔE_f in eV per atom: -0.069